A plane-wave DFT calculation with PBE was carried out for Y2Sn5Ir3 after structural relaxation.

Geometry as POSCAR:
```
Y2Sn5Ir3
1.0
-5.625 6.265 3.161
5.625 -6.265 3.161
5.625 6.265 -3.161
Y Sn Ir
4 10 6
direct
0.151 0.220 0.371 Y
0.349 0.720 0.070 Y
0.651 0.280 0.930 Y
0.849 0.780 0.629 Y
0.028 0.750 0.278 Sn
0.082 0.669 0.751 Sn
0.250 0.250 0.000 Sn
0.418 0.169 0.587 Sn
0.472 0.750 0.722 Sn
0.528 0.250 0.278 Sn
0.582 0.831 0.413 Sn
0.750 0.750 0.000 Sn
0.918 0.331 0.249 Sn
0.972 0.250 0.722 Sn
0.144 0.885 0.028 Ir
0.250 0.750 0.500 Ir
0.356 0.385 0.741 Ir
0.644 0.615 0.259 Ir
0.750 0.250 0.500 Ir
0.856 0.115 0.972 Ir
```

uncorrected energy = -6.46 eV/atom
space-group type = No. 72